Run w
The following is a GGA-PBE calculation of Y3HgTe2 after structural relaxation, from the Alexandria database.

Computed properties:
N(E_F) (states/eV/f.u.): 4.30
Symmetry: No. 70
V (Å³/atom): 29.2

Cell lengths 7.586, 7.586, 13.599 Å; angles 100.94, 100.94, 108.63 degrees
Sites, in units of the cell vectors:
Y (0.166, 0.673, 0.831)
Y (0.665, 0.158, 0.831)
Y (0.084, 0.077, 0.669)
Y (0.585, 0.592, 0.669)
Y (0.007, 0.507, 0.500)
Y (0.493, 0.993, 0.500)
Y (0.408, 0.415, 0.331)
Y (0.923, 0.916, 0.331)
Y (0.842, 0.335, 0.169)
Y (0.327, 0.834, 0.169)
Y (0.243, 0.243, 0.000)
Y (0.757, 0.757, 0.000)
Hg (0.917, 0.917, 0.833)
Hg (0.333, 0.833, 0.667)
Hg (0.167, 0.667, 0.333)
Hg (0.083, 0.083, 0.167)
Te (0.998, 0.498, 0.996)
Te (0.419, 0.419, 0.837)
Te (0.831, 0.331, 0.663)
Te (0.252, 0.252, 0.504)
Te (0.748, 0.748, 0.496)
Te (0.669, 0.169, 0.337)
Te (0.581, 0.581, 0.163)
Te (0.502, 0.002, 0.004)



Run x
The following is a GGA-PBE calculation of Y3HgTe2 after structural relaxation, from the Alexandria database.

Computed properties:
N(E_F) (states/eV/f.u.): 2.91
Symmetry: No. 71
V (Å³/atom): 29.2

Cell lengths 4.202, 6.179, 7.712 Å; angles 113.62, 105.81, 90.00 degrees
Sites, in units of the cell vectors:
Y (0.838, 0.338, 0.177)
Y (0.162, 0.662, 0.823)
Y (0.500, 0.000, 0.500)
Hg (0.500, 0.500, 0.500)
Te (0.831, 0.831, 0.161)
Te (0.169, 0.169, 0.839)



run x ends up most stable, edging out the next structure by 0.012 eV/atom.



Run w
The following is a GGA-PBE calculation of ZnHg2Te after structural relaxation, from the Alexandria database.

Computed properties:
N(E_F) (states/eV/f.u.): 1.41
Symmetry: No. 166
V (Å³/atom): 25.5

Cell lengths 6.739, 6.739, 6.739 Å; angles 37.60, 37.60, 37.60 degrees
Sites, in units of the cell vectors:
Hg (0.012, 0.012, 0.012)
Hg (0.488, 0.488, 0.488)
Te (0.250, 0.250, 0.250)
Zn (0.750, 0.750, 0.750)



Run x
The following is a GGA-PBE calculation of ZnHg2Te after structural relaxation, from the Alexandria database.

Computed properties:
N(E_F) (states/eV/f.u.): 1.35
Symmetry: No. 44
V (Å³/atom): 28.3

Cell lengths 5.649, 5.649, 5.649 Å; angles 136.62, 106.34, 89.54 degrees
Sites, in units of the cell vectors:
Hg (0.021, 0.021, 0.000)
Hg (0.756, 0.256, 0.500)
Te (0.468, 0.468, 0.000)
Zn (0.256, 0.756, 0.500)



Run y
The following is a GGA-PBE calculation of ZnHg2Te after structural relaxation, from the Alexandria database.

Computed properties:
N(E_F) (states/eV/f.u.): 0.89
Symmetry: No. 12
V (Å³/atom): 27.7

Cell lengths 6.786, 6.786, 3.204 Å; angles 89.19, 89.19, 131.39 degrees
Sites, in units of the cell vectors:
Hg (0.000, 0.000, 0.000)
Hg (0.500, 0.500, 0.000)
Te (0.500, 0.000, 0.500)
Zn (0.000, 0.500, 0.500)



Run z
The following is a GGA-PBE calculation of ZnHg2Te after structural relaxation, from the Alexandria database.

Computed properties:
N(E_F) (states/eV/f.u.): 1.71
Symmetry: No. 99
V (Å³/atom): 30.6

Cell lengths 3.889, 3.889, 8.082 Å; angles 90.00, 90.00, 90.00 degrees
Sites, in units of the cell vectors:
Hg (0.000, 0.000, 0.039)
Hg (0.500, 0.500, 0.243)
Te (0.000, 0.000, 0.637)
Zn (0.500, 0.500, 0.581)



run z ends up most stable, edging out the next structure by 0.057 eV/atom.



Run w
The following is a GGA-PBE calculation of ZnHg2Te after structural relaxation, from the Alexandria database.

Computed properties:
N(E_F) (states/eV/f.u.): 1.06
Symmetry: No. 65
V (Å³/atom): 25.7

Cell lengths 5.771, 4.228, 4.229 Å; angles 86.08, 90.00, 90.00 degrees
Sites, in units of the cell vectors:
Hg (0.000, 0.991, 0.991)
Hg (0.000, 0.509, 0.509)
Te (0.500, 0.250, 0.250)
Zn (0.500, 0.750, 0.750)



Run x
The following is a GGA-PBE calculation of ZnHg2Te after structural relaxation, from the Alexandria database.

Computed properties:
N(E_F) (states/eV/f.u.): 1.13
Symmetry: No. 119
V (Å³/atom): 25.3

Cell lengths 5.245, 5.245, 5.245 Å; angles 120.47, 120.47, 89.19 degrees
Sites, in units of the cell vectors:
Hg (0.000, 0.000, 0.000)
Hg (0.250, 0.750, 0.500)
Te (0.500, 0.500, 0.000)
Zn (0.750, 0.250, 0.500)



Run y
The following is a GGA-PBE calculation of ZnHg2Te after structural relaxation, from the Alexandria database.

Computed properties:
N(E_F) (states/eV/f.u.): 2.54
Symmetry: No. 225
V (Å³/atom): 25.6

Cell lengths 5.252, 5.252, 5.252 Å; angles 60.00, 60.00, 60.00 degrees
Sites, in units of the cell vectors:
Zn (0.000, 0.000, 0.000)
Te (0.500, 0.500, 0.500)
Hg (0.250, 0.250, 0.250)
Hg (0.750, 0.750, 0.750)



Run z
The following is a GGA-PBE calculation of ZnHg2Te after structural relaxation, from the Alexandria database.

Computed properties:
N(E_F) (states/eV/f.u.): 1.11
Symmetry: No. 6
V (Å³/atom): 29.3

Cell lengths 4.166, 6.165, 6.212 Å; angles 47.37, 90.00, 90.00 degrees
Sites, in units of the cell vectors:
Hg (0.000, 0.903, 0.911)
Hg (0.500, 0.313, 0.307)
Te (0.000, 0.566, 0.571)
Zn (0.500, 0.718, 0.712)



run z ends up most stable, edging out the next structure by 0.067 eV/atom.